A plane-wave DFT calculation with PBE was carried out for a relaxed CuHgS2N crystal.

Summary:
Formation energy (no corrections), meV per atom: 950
E above lowest polymorph, meV per atom: 0
Density of states at the Fermi level, states/eV/cell: 4.8

Lattice parameters (Å, degrees): 4.829 4.829 3.668 90.00 90.00 90.00
Each line ends with the local moment (μB).
Element x y z (fractional)
Cu1 0.000 0.000 0.000  0.11
N1 0.000 0.000 0.500  0.97
S1 0.000 0.500 0.000  0.10
S2 0.500 0.000 0.000  0.10
Hg1 0.500 0.500 0.500  0.01


A plane-wave DFT calculation with PBE was carried out for a relaxed ErPd5Au3 crystal.

Summary:
ΔE_f, eV/atom: -0.04
Density of states at the Fermi level, states/eV/cell: 13.1

Lattice parameters (Å, degrees): 8.412 8.412 6.955 69.66 69.66 53.57
Element x y z (fractional)
Er1 0.195 0.195 0.709
Er2 0.805 0.805 0.291
Au1 0.000 0.000 0.500
Au2 0.687 0.687 0.756
Au3 0.643 0.643 0.169
Au4 0.313 0.313 0.244
Au5 0.000 0.000 0.000
Au6 0.357 0.357 0.831
Pd1 0.451 0.451 0.384
Pd2 0.549 0.549 0.616
Pd3 0.388 0.934 0.438
Pd4 0.155 0.155 0.126
Pd5 0.934 0.388 0.438
Pd6 0.334 0.666 0.000
Pd7 0.066 0.612 0.562
Pd8 0.666 0.334 0.000
Pd9 0.612 0.066 0.562
Pd10 0.845 0.845 0.874


density of states at the Fermi level of number 1 (CuHgS2N)?
4.8 states/eV/cell